1.
DFT (PBE) results for a geometry-optimized Sr2TlCdNi structure. Values from VASP.

```
&SYSTEM
  ibrav = 0, nat = 5, ntyp = 4
/
ATOMIC_SPECIES
Cd 112.41 Cd.upf
Sr 87.62 Sr.upf
Tl 204.38 Tl.upf
Ni 58.69 Ni.upf
ATOMIC_POSITIONS angstrom
Cd 0.0000 0.0000 2.5036
Sr 2.8433 0.0000 0.0000
Sr 0.0000 2.8433 0.0000
Tl 2.8433 2.8433 2.5036
Ni 0.0000 0.0000 0.0000
CELL_PARAMETERS angstrom
5.6867 0.0000 0.0000
0.0000 5.6867 0.0000
0.0000 0.0000 5.0071
```

Summary:
- E above lowest polymorph (eV per atom) = 0.028
- calculated volume (Å³ per cell) = 162
- E_form (eV/atom) = -0.108

***

2.
DFT (PBE) results for a geometry-optimized Sr2TlCdNi structure. Values from VASP.

```
&SYSTEM
  ibrav = 0, nat = 5, ntyp = 4
/
ATOMIC_SPECIES
Sr 87.62 Sr.upf
Ni 58.69 Ni.upf
Cd 112.41 Cd.upf
Tl 204.38 Tl.upf
ATOMIC_POSITIONS angstrom
Sr -1.0293 2.0493 1.7078
Sr -2.6662 -0.7329 -0.7275
Ni 0.0000 0.0000 0.0000
Cd -3.7687 -0.3040 2.8806
Tl -0.0732 -1.6204 1.9003
CELL_PARAMETERS angstrom
-2.0585 4.0985 3.4155
-5.3325 -1.4657 -1.4551
-0.1463 -3.2408 3.8007
```

Summary:
- E above lowest polymorph (eV per atom) = 0.000
- calculated volume (Å³ per cell) = 163
- E_form (eV/atom) = -0.136

***

3.
DFT (PBE) results for a geometry-optimized SrTlCd2Ni structure. Values from VASP.

```
&SYSTEM
  ibrav = 0, nat = 5, ntyp = 4
/
ATOMIC_SPECIES
Sr 87.62 Sr.upf
Cd 112.41 Cd.upf
Ni 58.69 Ni.upf
Tl 204.38 Tl.upf
ATOMIC_POSITIONS angstrom
Sr 2.5491 2.5491 2.5276
Cd 2.5491 0.0000 0.0000
Cd 0.0000 2.5491 0.0000
Ni 0.0000 0.0000 0.0000
Tl 0.0000 0.0000 2.5276
CELL_PARAMETERS angstrom
5.0982 0.0000 0.0000
0.0000 5.0982 0.0000
0.0000 0.0000 5.0553
```

Summary:
- E above lowest polymorph (eV per atom) = 0.000
- calculated volume (Å³ per cell) = 131
- E_form (eV/atom) = -0.137